Ta6Ni16Ge7: single point on PBEsol structure, meta-GGA SCAN.

Unit cell a=7.985 b=7.985 c=7.985 alpha=60.00 beta=60.00 gamma=60.00
Element x y z (fractional)
Ta: 0.201 0.201 0.799
Ta: 0.201 0.799 0.201
Ta: 0.201 0.799 0.799
Ta: 0.799 0.201 0.201
Ta: 0.799 0.201 0.799
Ta: 0.799 0.799 0.201
Ni: 0.148 0.617 0.617
Ni: 0.166 0.166 0.166
Ni: 0.166 0.166 0.501
Ni: 0.166 0.501 0.166
Ni: 0.383 0.383 0.383
Ni: 0.383 0.383 0.852
Ni: 0.383 0.852 0.383
Ni: 0.499 0.834 0.834
Ni: 0.501 0.166 0.166
Ni: 0.617 0.148 0.617
Ni: 0.617 0.617 0.148
Ni: 0.617 0.617 0.617
Ni: 0.834 0.499 0.834
Ni: 0.834 0.834 0.499
Ni: 0.834 0.834 0.834
Ni: 0.852 0.383 0.383
Ge: 0.000 0.000 0.500
Ge: 0.000 0.500 0.000
Ge: 0.000 0.500 0.500
Ge: 0.500 0.000 0.000
Ge: 0.500 0.000 0.500
Ge: 0.500 0.500 0.000
Ge: 0.500 0.500 0.500

Summary:
As for the density of states at the Fermi level: 18.153 states/eV per cell. For the total energy, the calculation gives -27.724 eV per atom.